Density functional theory data (PBE with a Hubbard U) for an optimized crystal structure of CoF3.

abc: 5.449 5.449 6.608
angles: 90.02 90.02 60.05
Sites, in units of the cell vectors:
Co 0.000 0.000 0.000
Co 0.335 0.330 0.333
Co 0.670 0.665 0.667
F 0.049 0.461 0.522
F 0.126 0.158 0.190
F 0.132 0.664 0.165
F 0.336 0.868 0.835
F 0.539 0.951 0.478
F 0.541 0.459 0.500
F 0.620 0.171 0.145
F 0.829 0.380 0.855
F 0.842 0.874 0.810

Results
Magnetic moment = 1.000 μB/atom
Electronic total energy = -4.5550 eV per atom
SG = No. 5